# 1
A relaxed structure of Na3LaPa2N6, computed with PBE.

Lattice parameters (Å, degrees): 6.0942 11.1277 6.0408 90.00 107.13 90.00
Last column: nearest neighbours and their distance in Å.
Space group C2/m (No. 12)
Symmetry-distinct sites (fractional):
Na: 0.0000 0.0000 0.0000 x2  6 N 2.54-2.79
Na: 0.0000 0.3274 0.0000 x4  6 N 2.60-2.89
La: 0.0000 0.5000 0.5000 x2  6 N 2.39-2.58
Pa: 0.0000 0.1633 0.5000 x4  4 N 2.13-2.33
N: 0.2091 0.0000 0.6937 x4  2 Pa 2.33, 1 La 2.39, 1 Na 2.54
N: 0.2387 0.1766 0.3052 x8  1 Pa 2.13

Values from the calculation:
Uncorrected energy: -7.387 eV per atom
Raw formation energy: -1044 kJ/mol of formula units

# 2
A relaxed structure of NaNbSe3, computed with PBE.

Lattice parameters (Å, degrees): 14.3942 10.0548 6.8195 90.00 92.32 90.00
Last column: nearest neighbours and their distance in Å.
Space group C2/c (No. 15)
Symmetry-distinct sites (fractional):
Na: 0.0000 0.1341 0.2500 x4  6 Se 2.89-3.02
Na: 0.0000 0.3372 0.7500 x4  6 Se 3.07-3.22
Nb: 0.2398 0.0479 0.8789 x8  5 Se 2.49-2.72
Se: 0.1198 0.0880 0.6036 x8  2 Nb 2.53-2.72
Se: 0.1292 0.4460 0.4242 x8  1 Nb 2.49
Se: 0.1865 0.2070 0.1530 x8  2 Nb 2.60-2.70, 1 Na 2.89

Values from the calculation:
Uncorrected energy: -5.133 eV per atom
Raw formation energy: -369 kJ/mol of formula units

# 3
A relaxed structure of ScSi3Mo, computed with PBE.

Lattice parameters (Å, degrees): 4.6790 4.6790 4.6790 90.00 90.00 90.00
Last column: nearest neighbours and their distance in Å.
Space group Pm-3m (No. 221)
Symmetry-distinct sites (fractional):
Sc: 0.0000 0.0000 0.0000 x1  12 Si 3.31
Si: 0.0000 0.5000 0.5000 x3  2 Mo 2.34
Mo: 0.5000 0.5000 0.5000 x1  6 Si 2.34

Values from the calculation:
Uncorrected energy: -6.344 eV per atom
Raw formation energy: 165 kJ/mol of formula units

# 4
A relaxed structure of HgPd3F, computed with PBE.

Lattice parameters (Å, degrees): 4.4084 4.4084 4.4084 90.00 90.00 90.00
Last column: nearest neighbours and their distance in Å.
Space group Pm-3m (No. 221)
Symmetry-distinct sites (fractional):
Hg: 0.0000 0.0000 0.0000 x1  12 Pd 3.12
Pd: 0.0000 0.5000 0.5000 x3  2 F 2.20
F: 0.5000 0.5000 0.5000 x1  6 Pd 2.20

Values from the calculation:
Uncorrected energy: -3.441 eV per atom
Raw formation energy: 53 kJ/mol of formula units

# 5
A relaxed structure of PmHg6Pb2, computed with PBE.

Lattice parameters (Å, degrees): 6.6159 16.1077 4.8885 90.00 111.23 90.00
Last column: nearest neighbours and their distance in Å.
Space group C2/m (No. 12)
Symmetry-distinct sites (fractional):
Pm: 0.0000 0.0000 0.0000 x2  8 Hg 3.25-3.31, 4 Pb 3.60
Hg: 0.1511 0.5000 0.3268 x4  4 Hg 3.05-3.23, 2 Pm 3.25-3.26, 2 Pb 3.41
Hg: 0.1632 0.3400 0.8330 x8  4 Hg 3.14-3.32, 3 Pb 3.20-3.25, 1 Pm 3.31
Pb: 0.0000 0.1643 0.5000 x4  8 Hg 3.20-3.41

Values from the calculation:
Uncorrected energy: -1.681 eV per atom
E_form: -128 meV/atom

# 6
A relaxed structure of TbPr3Sb4, computed with PBE.

Lattice parameters (Å, degrees): 9.0370 12.7830 4.5235 90.00 90.00 90.00
Last column: nearest neighbours and their distance in Å.
Space group Cmmm (No. 65)
Symmetry-distinct sites (fractional):
Tb: 0.0000 0.0000 0.0000 x2  6 Sb 3.15-3.16
Pr: 0.0000 0.5000 0.0000 x2  6 Sb 3.24
Pr: 0.2500 0.2500 0.5000 x4  6 Sb 3.20
Sb: 0.0000 0.2467 0.0000 x4  1 Tb 3.15, 5 Pr 3.20-3.24
Sb: 0.2435 0.0000 0.5000 x4  2 Tb 3.16, 4 Pr 3.20-3.24

Values from the calculation:
Uncorrected energy: -5.608 eV per atom
Raw formation energy: -908 kJ/mol of formula units

# 7
A relaxed structure of Ca4Cd, computed with PBE.

Lattice parameters (Å, degrees): 7.0335 7.0335 7.6019 90.00 90.00 90.00
Last column: nearest neighbours and their distance in Å.
Space group P-42_1c (No. 114)
Symmetry-distinct sites (fractional):
Ca: 0.1424 0.2647 0.3398 x8  2 Cd 3.25-3.34
Cd: 0.0000 0.0000 0.0000 x2  8 Ca 3.25-3.34

Values from the calculation:
Uncorrected energy: -1.893 eV per atom
E_form: -108 meV/atom

# 8
A relaxed structure of KBaFeCl2, computed with PBE.

Lattice parameters (Å, degrees): 6.0361 6.0361 6.2297 90.00 90.00 90.00
Last column: nearest neighbours and their distance in Å.
Space group P4/mmm (No. 123)
Symmetry-distinct sites (fractional):
K: 0.0000 0.0000 0.0000 x1  4 Fe 4.27, 8 Cl 4.34
Ba: 0.5000 0.5000 0.5000 x1  4 Cl 3.02, 2 Fe 3.11
Fe: 0.5000 0.5000 0.0000 x1  2 Ba 3.11
Cl: 0.0000 0.5000 0.5000 x2  2 Ba 3.02

Values from the calculation:
Uncorrected energy: -3.691 eV per atom
Raw formation energy: -317 kJ/mol of formula units

# 9
A relaxed structure of NdThGe2Pt5, computed with PBE.

Lattice parameters (Å, degrees): 4.4078 4.4078 8.8900 90.00 90.00 90.00
Last column: nearest neighbours and their distance in Å.
Space group P4/mmm (No. 123)
Symmetry-distinct sites (fractional):
Nd: 0.0000 0.0000 0.0000 x1  12 Pt 3.02-3.12
Th: 0.0000 0.0000 0.5000 x1  8 Pt 3.25, 8 Ge 3.35
Ge: 0.5000 0.5000 0.3610 x2  1 Ge 2.47, 4 Pt 2.48
Pt: 0.0000 0.5000 0.2319 x4  2 Ge 2.48
Pt: 0.5000 0.5000 0.0000 x1  8 Pt 3.02, 4 Nd 3.12, 2 Ge 3.21

Values from the calculation:
Uncorrected energy: -6.617 eV per atom
E_form: -880 meV/atom

# 10
A relaxed structure of K3PdAu, computed with PBE.

Lattice parameters (Å, degrees): 6.0770 6.0770 6.0770 90.00 90.00 90.00
Last column: nearest neighbours and their distance in Å.
Space group Pm-3m (No. 221)
Symmetry-distinct sites (fractional):
K: 0.0000 0.0000 0.5000 x3  2 Pd 3.04
Pd: 0.0000 0.0000 0.0000 x1  6 K 3.04
Au: 0.5000 0.5000 0.5000 x1  12 K 4.30

Values from the calculation:
Uncorrected energy: -2.312 eV per atom
E_form: 41 meV/atom

# 11
A relaxed structure of HfNbAs, computed with PBE.

Lattice parameters (Å, degrees): 3.3643 3.4539 10.1525 90.00 90.00 90.00
Last column: nearest neighbours and their distance in Å.
Space group Amm2 (No. 38)
Symmetry-distinct sites (fractional):
Hf: 0.0000 0.0000 0.0000 x2  3 As 2.71-2.99
Nb: 0.5000 0.0000 0.3091 x2  4 As 2.63
As: 0.0000 0.0000 0.7057 x2  4 Nb 2.63, 2 Hf 2.71

Values from the calculation:
Uncorrected energy: -8.675 eV per atom
E_form: -450 meV/atom

# 12
A relaxed structure of Co3BiP, computed with PBE.

Lattice parameters (Å, degrees): 4.7367 4.7367 4.7367 90.00 90.00 90.00
Last column: nearest neighbours and their distance in Å.
Space group Pm-3m (No. 221)
Symmetry-distinct sites (fractional):
Co: 0.0000 0.0000 0.5000 x3  2 Bi 2.37
Bi: 0.0000 0.0000 0.0000 x1  6 Co 2.37
P: 0.5000 0.5000 0.5000 x1  12 Co 3.35

Values from the calculation:
Uncorrected energy: -4.342 eV per atom
E_form: 1780 meV/atom

# 13
A relaxed structure of ErIn3Se6, computed with PBE.

Lattice parameters (Å, degrees): 11.3812 4.0644 11.8850 90.00 111.54 90.00
Last column: nearest neighbours and their distance in Å.
Space group P2_1/m (No. 11)
Symmetry-distinct sites (fractional):
Er: 0.2004 0.2500 0.0480 x2  8 Se 2.87-3.08
In: 0.0226 0.7500 0.2939 x2  6 Se 2.70-2.98
In: 0.3343 0.2500 0.4369 x2  6 Se 2.70-2.92
In: 0.4047 0.7500 0.8320 x2  6 Se 2.72-2.88
Se: 0.0362 0.7500 0.9029 x2  3 Er 2.87-2.96, 2 In 2.98
Se: 0.1045 0.2500 0.4537 x2  3 In 2.70
Se: 0.2368 0.2500 0.8034 x2  3 In 2.72-2.75
Se: 0.2388 0.7500 0.2481 x2  3 In 2.71-2.92
Se: 0.4065 0.7500 0.0690 x2  3 In 2.81-2.88, 2 Er 3.04
Se: 0.4376 0.7500 0.6033 x2  4 In 2.78-2.88

Values from the calculation:
Uncorrected energy: -4.167 eV per atom
Raw formation energy: -771 kJ/mol of formula units

# 14
A relaxed structure of ZrGeB2Pb, computed with PBE.

Lattice parameters (Å, degrees): 4.4363 4.4363 5.4834 90.00 90.00 90.00
Last column: nearest neighbours and their distance in Å.
Space group P4/mmm (No. 123)
Symmetry-distinct sites (fractional):
Zr: 0.0000 0.0000 0.0000 x1  4 Ge 3.14
Ge: 0.5000 0.5000 0.0000 x1  2 Pb 2.74
B: 0.0000 0.5000 0.5000 x2  2 Pb 2.22
Pb: 0.5000 0.5000 0.5000 x1  4 B 2.22

Values from the calculation:
Uncorrected energy: -4.172 eV per atom
E_form: 1874 meV/atom

# 15
A relaxed structure of PmNd2Tm12, computed with PBE.

Lattice parameters (Å, degrees): 3.5363 5.5733 23.9787 90.00 94.06 90.00
Last column: nearest neighbours and their distance in Å.
Space group P2/m (No. 10)
Symmetry-distinct sites (fractional):
Pm: 0.0000 0.0000 0.0000 x1  2 Pm 3.54, 12 Tm 3.67-3.71
Nd: 0.3592 0.0000 0.7184 x2  5 Tm 3.47-3.51, 2 Nd 3.54
Tm: 0.0927 0.5000 0.1923 x2  9 Tm 3.32-3.56
Tm: 0.1664 0.5000 0.3309 x2  5 Tm 3.25-3.54, 4 Nd 3.50-3.51
Tm: 0.2159 0.0000 0.4295 x2  8 Tm 3.32-3.65
Tm: 0.2769 0.5000 0.5547 x2  8 Tm 3.16-3.32
Tm: 0.4357 0.0000 0.8636 x2  8 Tm 3.24-3.56, 1 Nd 3.47
Tm: 0.4661 0.5000 0.9324 x2  7 Tm 3.23-3.54

Values from the calculation:
Uncorrected energy: -4.423 eV per atom
E_form: 107 meV/atom

# 16
A relaxed structure of Sr5HgGe2, computed with PBE.

Lattice parameters (Å, degrees): 8.2701 8.2701 16.4510 90.00 90.00 90.00
Last column: nearest neighbours and their distance in Å.
Space group I4/mcm (No. 140)
Symmetry-distinct sites (fractional):
Sr: 0.0000 0.0000 0.0000 x4  4 Ge 3.33
Sr: 0.1737 0.3263 0.1374 x16  3 Ge 3.32-3.36, 2 Hg 3.57
Hg: 0.0000 0.0000 0.2500 x4  8 Sr 3.57
Ge: 0.1134 0.3866 0.5000 x8  1 Ge 2.65

Values from the calculation:
Uncorrected energy: -2.752 eV per atom
E_form: -509 meV/atom

# 17
A relaxed structure of Gd2MgSe, computed with PBE.

Lattice parameters (Å, degrees): 3.7940 3.7940 30.6871 90.00 90.00 120.00
Last column: nearest neighbours and their distance in Å.
Space group R-3m (No. 166, hexagonal axes)
Symmetry-distinct sites (fractional):
Gd: 0.0000 0.0000 0.1082 x6  3 Se 2.83
Mg: 0.0000 0.0000 0.0000 x3  2 Gd 3.32
Se: 0.0000 0.0000 0.5000 x3  6 Gd 2.83

Values from the calculation:
Uncorrected energy: -8.860 eV per atom
Raw formation energy: -212 kJ/mol of formula units

# 18
A relaxed structure of MgV2ReW, computed with PBE.

Lattice parameters (Å, degrees): 4.2757 4.2757 4.5671 90.00 90.00 90.00
Last column: nearest neighbours and their distance in Å.
Space group P4/mmm (No. 123)
Symmetry-distinct sites (fractional):
Mg: 0.0000 0.0000 0.0000 x1  4 V 2.14, 2 Re 2.28
V: 0.0000 0.5000 0.0000 x2  2 Mg 2.14
Re: 0.0000 0.0000 0.5000 x1  2 Mg 2.28
W: 0.5000 0.5000 0.5000 x1  4 Re 3.02, 8 V 3.13

Values from the calculation:
Uncorrected energy: -6.974 eV per atom
E_form: 2073 meV/atom

# 19
A relaxed structure of Ba2DySnS5, computed with PBE.

Lattice parameters (Å, degrees): 4.3627 18.0205 12.8575 90.00 90.00 90.00
Last column: nearest neighbours and their distance in Å.
Space group Cmc2_1 (No. 36)
Symmetry-distinct sites (fractional):
Ba: 0.0000 0.1139 0.0000 x4  6 S 3.15-3.45
Ba: 0.0000 0.1340 0.6295 x4  7 S 3.24-3.40
Dy: 0.0000 0.2130 0.3384 x4  6 S 2.63-2.90
Sn: 0.0000 0.4528 0.7707 x4  4 S 2.48-2.64
S: 0.0000 0.0539 0.3709 x4  2 Sn 2.54
S: 0.0000 0.2877 0.9733 x4  2 Dy 2.79
S: 0.0000 0.3162 0.6969 x4  1 Sn 2.64, 2 Dy 2.89
S: 0.0000 0.3585 0.3187 x4  1 Dy 2.63
S: 0.0000 0.4959 0.0920 x4  1 Sn 2.48

Values from the calculation:
Uncorrected energy: -5.289 eV per atom
Raw formation energy: -1400 kJ/mol of formula units

# 20
A relaxed structure of MgNi4B, computed with PBE.

Lattice parameters (Å, degrees): 3.9950 13.0257 5.3105 90.00 90.00 90.00
Last column: nearest neighbours and their distance in Å.
Space group Cmcm (No. 63)
Symmetry-distinct sites (fractional):
Mg: 0.0000 0.1003 0.2500 x4  13 Ni 2.66-2.91
Ni: 0.0000 0.1158 0.7500 x4  2 B 2.00
Ni: 0.0000 0.2966 0.5133 x8  1 B 1.88
Ni: 0.0000 0.5000 0.0000 x4  2 B 1.93
B: 0.0000 0.3926 0.2500 x4  6 Ni 1.88-2.00

Values from the calculation:
Uncorrected energy: -5.406 eV per atom
E_form: -173 meV/atom

# 21
A relaxed structure of Ho2BeZnPt6, computed with PBE.

Lattice parameters (Å, degrees): 5.5890 5.5890 20.4312 90.00 90.00 120.00
Last column: nearest neighbours and their distance in Å.
Space group R-3m (No. 166, hexagonal axes)
Symmetry-distinct sites (fractional):
Ho: 0.0000 0.0000 0.2072 x6  9 Pt 3.01-3.22, 3 Zn 3.33
Be: 0.0000 0.0000 0.0000 x3  6 Pt 2.20
Zn: 0.0000 0.0000 0.5000 x3  6 Pt 2.51
Pt: 0.0051 0.5026 0.2616 x18  1 Be 2.20

Values from the calculation:
Uncorrected energy: -5.863 eV per atom
E_form: -823 meV/atom

# 22
A relaxed structure of KScSb4, computed with PBE.

Lattice parameters (Å, degrees): 8.9814 8.9814 8.9814 90.00 90.00 90.00
Last column: nearest neighbours and their distance in Å.
Space group F-43m (No. 216)
Symmetry-distinct sites (fractional):
K: 0.0000 0.0000 0.0000 x4  12 Sb 3.73, 4 Sc 3.89
Sc: 0.2500 0.2500 0.2500 x4  12 Sb 3.72, 4 K 3.89
Sb: 0.1241 0.1241 0.6241 x16  6 Sb 3.15-3.20

Values from the calculation:
Uncorrected energy: -3.964 eV per atom
Raw formation energy: 13 kJ/mol of formula units